(1)
Entry from Alexandria via LeMat-Bulk: a geometry-optimized ZnPb2W structure (PBE). Values from VASP.

Computed properties:
Uncorrected energy (eV/atom): -4.535
SG: P4/mmm
DFT formation energy (meV/atom): 876.3

```
&SYSTEM
  ibrav = 0, nat = 4, ntyp = 3
/
ATOMIC_SPECIES
Zn 65.41 Zn.upf
Pb 207.20 Pb.upf
W 183.84 W.upf
ATOMIC_POSITIONS angstrom
Zn 0.0000 2.6584 1.5369
Pb 0.0000 0.0000 0.0000
Pb 2.6584 2.6584 0.0000
W 2.6584 0.0000 1.5369
CELL_PARAMETERS angstrom
5.3167 0.0000 0.0000
0.0000 5.3167 0.0000
0.0000 0.0000 3.0738
```

---

(2)
Entry from Alexandria via LeMat-Bulk: a geometry-optimized ZnPb2W structure (PBE). Values from VASP.

Computed properties:
Uncorrected energy (eV/atom): -4.556
SG: C2/m
DFT formation energy (meV/atom): 854.5

```
&SYSTEM
  ibrav = 0, nat = 4, ntyp = 3
/
ATOMIC_SPECIES
Pb 207.20 Pb.upf
W 183.84 W.upf
Zn 65.41 Zn.upf
ATOMIC_POSITIONS angstrom
Pb -0.9879 -0.0860 5.4054
Pb -5.1865 1.6302 2.5853
W -7.9435 2.5088 3.8105
Zn -2.6478 0.8363 1.2702
CELL_PARAMETERS angstrom
-4.3429 3.1849 -0.0680
-5.3698 0.2884 -0.3018
-0.8787 -0.1283 5.4504
```

---

(3)
Entry from Alexandria via LeMat-Bulk: a geometry-optimized ZnPb2W structure (PBE). Values from VASP.

Computed properties:
Uncorrected energy (eV/atom): -4.521
SG: Immm
DFT formation energy (meV/atom): 889.9

```
&SYSTEM
  ibrav = 0, nat = 4, ntyp = 3
/
ATOMIC_SPECIES
Pb 207.20 Pb.upf
W 183.84 W.upf
Zn 65.41 Zn.upf
ATOMIC_POSITIONS angstrom
Pb -0.0249 -0.0062 -0.0489
Pb -1.9466 -0.4866 -3.8253
W -2.6281 1.5145 -1.3254
Zn -2.1600 -1.6093 -1.1662
CELL_PARAMETERS angstrom
-2.4397 2.6310 -4.0334
-1.5034 -3.6167 -3.7151
-0.8450 0.8909 5.2569
```

---

(4)
Entry from Alexandria via LeMat-Bulk: a geometry-optimized ZnPb2W structure (PBE). Values from VASP.

Computed properties:
Uncorrected energy (eV/atom): -4.733
SG: Imm2
DFT formation energy (meV/atom): 677.7

```
&SYSTEM
  ibrav = 0, nat = 4, ntyp = 3
/
ATOMIC_SPECIES
Pb 207.20 Pb.upf
W 183.84 W.upf
Zn 65.41 Zn.upf
ATOMIC_POSITIONS angstrom
Pb 12.2399 5.2112 0.0000
Pb 3.2391 -0.8741 1.2701
W 6.0575 2.5790 0.0000
Zn 3.6342 2.3956 1.2739
CELL_PARAMETERS angstrom
7.2839 -0.0002 -0.0038
5.0483 5.2508 0.0038
-5.6597 -3.8146 2.5440
```

---

(5)
Entry from Alexandria via LeMat-Bulk: a geometry-optimized ZnPb2W structure (PBE). Values from VASP.

Computed properties:
Uncorrected energy (eV/atom): -4.653
SG: P4/mmm
DFT formation energy (meV/atom): 758.2

```
&SYSTEM
  ibrav = 0, nat = 4, ntyp = 3
/
ATOMIC_SPECIES
Zn 65.41 Zn.upf
W 183.84 W.upf
Pb 207.20 Pb.upf
ATOMIC_POSITIONS angstrom
Zn 1.5314 1.5314 7.8565
W 1.5314 1.5314 2.6188
Pb 0.0000 0.0000 4.8784
Pb 0.0000 0.0000 0.3593
CELL_PARAMETERS angstrom
3.0628 0.0000 0.0000
0.0000 3.0628 0.0000
0.0000 0.0000 10.4754
```

---

(6)
Entry from Alexandria via LeMat-Bulk: a geometry-optimized Zn2PbW2 structure (PBE). Values from VASP.

Computed properties:
Uncorrected energy (eV/atom): -5.531
SG: I4/mmm
Excess energy over the best structure of this formula in the dataset (kJ/mol of formula units): 125.8
DFT formation energy (meV/atom): 901.0

```
&SYSTEM
  ibrav = 0, nat = 5, ntyp = 3
/
ATOMIC_SPECIES
Zn 65.41 Zn.upf
Pb 207.20 Pb.upf
W 183.84 W.upf
ATOMIC_POSITIONS angstrom
Zn 1.8666 3.7331 3.2860
Zn 3.7331 1.8666 3.2860
Pb 0.0000 0.0000 0.0000
W 3.7331 3.7331 5.2939
W 1.8666 1.8666 1.2780
CELL_PARAMETERS angstrom
3.7331 0.0000 0.0000
0.0000 3.7331 0.0000
1.8666 1.8666 6.5719
```

---

(7)
Entry from Alexandria via LeMat-Bulk: a geometry-optimized ZnPb2W structure (PBE). Values from VASP.

Computed properties:
Uncorrected energy (eV/atom): -4.761
SG: Pm
DFT formation energy (meV/atom): 650.3

```
&SYSTEM
  ibrav = 0, nat = 4, ntyp = 3
/
ATOMIC_SPECIES
Pb 207.20 Pb.upf
W 183.84 W.upf
Zn 65.41 Zn.upf
ATOMIC_POSITIONS angstrom
Pb 2.1759 1.6268 1.7116
Pb 0.0000 5.3788 4.9039
W 0.0000 3.5069 2.5762
Zn 2.1759 3.4956 4.0998
CELL_PARAMETERS angstrom
4.3518 0.0000 0.0000
0.0000 3.7462 -0.0119
0.0000 1.8570 5.3285
```

---

(8)
Entry from Alexandria via LeMat-Bulk: a geometry-optimized ZnPb2W structure (PBE). Values from VASP.

Computed properties:
Uncorrected energy (eV/atom): -4.698
SG: Cm
DFT formation energy (meV/atom): 713.4

```
&SYSTEM
  ibrav = 0, nat = 4, ntyp = 3
/
ATOMIC_SPECIES
Zn 65.41 Zn.upf
Pb 207.20 Pb.upf
W 183.84 W.upf
ATOMIC_POSITIONS angstrom
Zn 2.6562 0.7005 1.1379
Pb 10.7241 2.8283 0.3225
Pb 9.4568 2.4940 3.5920
W 6.6067 1.7424 2.7544
CELL_PARAMETERS angstrom
5.8456 -0.0006 0.0001
5.0850 2.8833 0.0001
1.4114 0.3722 5.2041
```

---

Values of density of states at the Fermi level, in order: 0.41; 0.83; 0.60; 0.71; 0.69; 1.01; 0.76; 0.47, all in states/eV per atom.